Compound: BaInBr
Source: Alexandria
Functional: PBE
Structure: relaxed

Cell: 5.5246 5.5246 5.5246 Å, 60.00 60.00 60.00°
Closest atoms and distances in Å follow each position.
Atoms (fractional coordinates):
Ba1 0.5000 0.5000 0.5000  4 Br 3.38
Br1 0.7500 0.7500 0.7500  4 Ba 3.38, 4 In 3.38
In1 0.0000 0.0000 0.0000  4 Br 3.38

For the density of states at the Fermi level, the calculation gives 2.17 states/eV per cell. As for the crystal system: cubic. For the raw formation energy, the calculation gives -16.168 kcal/mol of atoms.